(1)
Material: Rb3NaAu
Method: DFT, GGA-PBE
State: optimized geometry Values from VASP.

Summary:
As for the formation energy: -0.102 eV per atom. The final energy is -1.601 eV per atom. Its space group is P1, No. 1. Its energy above the lowest structure with this stoichiometry is 0.34 kcal/mol of atoms.

```
&SYSTEM
  ibrav = 0, nat = 10, ntyp = 3
/
ATOMIC_SPECIES
Rb 85.47 Rb.upf
Na 22.99 Na.upf
Au 196.97 Au.upf
CELL_PARAMETERS angstrom
5.056 0.000 0.001
-2.528 10.243 0.018
0.000 -0.399 10.781
ATOMIC_POSITIONS crystal
Rb 0.088 0.209 0.438
Rb 0.407 0.849 0.658
Rb 0.636 0.306 0.764
Rb 0.956 0.945 0.984
Rb 0.269 0.572 0.990
Rb 0.775 0.582 0.431
Na 0.437 0.906 0.281
Na 0.607 0.247 0.140
Au 0.239 0.511 0.657
Au 0.805 0.643 0.765
```

(2)
Material: Rb2Na4Au
Method: DFT, GGA-PBE
State: optimized geometry Values from VASP.

Summary:
As for the formation energy: -0.102 eV per atom. The final energy is -1.600 eV per atom. Its space group is I4/mcm, No. 140. Its energy above the lowest structure with this stoichiometry is 0.00 kcal/mol of atoms.

```
&SYSTEM
  ibrav = 0, nat = 14, ntyp = 3
/
ATOMIC_SPECIES
Rb 85.47 Rb.upf
Na 22.99 Na.upf
Au 196.97 Au.upf
CELL_PARAMETERS angstrom
5.418 0.000 1.807
2.709 10.947 0.904
-0.754 0.000 11.289
ATOMIC_POSITIONS crystal
Rb 0.360 0.780 0.500
Rb 0.140 0.500 0.220
Rb 0.640 0.220 0.500
Rb 0.860 0.500 0.780
Na 0.840 0.228 0.093
Na 0.160 0.772 0.907
Na 0.933 0.907 0.228
Na 0.433 0.228 0.907
Na 0.660 0.907 0.772
Na 0.067 0.093 0.772
Na 0.567 0.772 0.093
Na 0.340 0.093 0.228
Au 0.750 0.000 0.000
Au 0.250 0.000 0.000
```

(3)
Material: RbNaAu2
Method: DFT, GGA-PBE
State: optimized geometry Values from VASP.

Summary:
As for the formation energy: -0.255 eV per atom. The final energy is -2.466 eV per atom. Its space group is R3m, No. 160. Its energy above the lowest structure with this stoichiometry is 0.39 kcal/mol of atoms.

```
&SYSTEM
  ibrav = 0, nat = 4, ntyp = 3
/
ATOMIC_SPECIES
Rb 85.47 Rb.upf
Na 22.99 Na.upf
Au 196.97 Au.upf
CELL_PARAMETERS angstrom
-2.769 0.949 -3.964
-4.700 -1.476 -0.134
-4.180 4.989 1.052
ATOMIC_POSITIONS crystal
Rb 0.511 0.511 0.468
Na 0.700 0.700 0.900
Au 0.981 0.981 0.057
Au 0.308 0.308 0.075
```

(4)
Material: RbNa4Au4
Method: DFT, GGA-PBE
State: optimized geometry Values from VASP.

Summary:
As for the formation energy: -0.233 eV per atom. The final energy is -2.383 eV per atom. Its space group is P4_2/n, No. 86.

```
&SYSTEM
  ibrav = 0, nat = 18, ntyp = 3
/
ATOMIC_SPECIES
Rb 85.47 Rb.upf
Na 22.99 Na.upf
Au 196.97 Au.upf
CELL_PARAMETERS angstrom
-0.590 -5.537 -1.741
8.321 0.787 -5.321
5.285 -3.021 7.818
ATOMIC_POSITIONS crystal
Rb 0.000 0.000 0.000
Rb 0.500 0.500 0.500
Na 0.405 0.365 0.886
Na 0.905 0.614 0.865
Na 0.405 0.635 0.114
Na 0.095 0.135 0.614
Na 0.595 0.886 0.635
Na 0.095 0.865 0.386
Na 0.905 0.386 0.135
Na 0.595 0.114 0.365
Au 0.590 0.815 0.334
Au 0.590 0.185 0.666
Au 0.090 0.834 0.685
Au 0.910 0.315 0.834
Au 0.910 0.685 0.166
Au 0.410 0.334 0.185
Au 0.410 0.666 0.815
Au 0.090 0.166 0.315
```

(5)
Material: Rb2Na2Au15
Method: DFT, GGA-PBE
State: optimized geometry Values from VASP.

Summary:
As for the formation energy: -0.208 eV per atom. The final energy is -3.036 eV per atom. Its space group is R-3m, No. 166.

```
&SYSTEM
  ibrav = 0, nat = 19, ntyp = 3
/
ATOMIC_SPECIES
Rb 85.47 Rb.upf
Na 22.99 Na.upf
Au 196.97 Au.upf
CELL_PARAMETERS angstrom
7.383 -0.111 0.840
0.738 7.347 0.840
-0.124 -0.111 7.429
ATOMIC_POSITIONS crystal
Rb 0.348 0.348 0.348
Rb 0.652 0.652 0.652
Na 0.101 0.101 0.101
Na 0.899 0.899 0.899
Au 0.500 0.000 0.000
Au 0.000 0.000 0.500
Au 0.000 0.500 0.000
Au 0.000 0.693 0.307
Au 0.693 0.307 0.000
Au 0.307 0.000 0.693
Au 0.307 0.693 0.000
Au 0.693 0.000 0.307
Au 0.000 0.307 0.693
Au 0.156 0.657 0.657
Au 0.657 0.657 0.156
Au 0.657 0.156 0.657
Au 0.844 0.343 0.343
Au 0.343 0.343 0.844
Au 0.343 0.844 0.343
```

(6)
Material: Rb3NaAu8
Method: DFT, GGA-PBE
State: optimized geometry Values from VASP.

Summary:
As for the formation energy: -0.232 eV per atom. The final energy is -2.769 eV per atom. Its space group is R3m, No. 160.

```
&SYSTEM
  ibrav = 0, nat = 12, ntyp = 3
/
ATOMIC_SPECIES
Rb 85.47 Rb.upf
Na 22.99 Na.upf
Au 196.97 Au.upf
CELL_PARAMETERS angstrom
5.588 0.000 1.687
2.539 4.978 1.687
-0.055 -0.033 10.280
ATOMIC_POSITIONS crystal
Rb 0.375 0.375 0.876
Rb 0.000 0.000 0.001
Rb 0.500 0.500 0.499
Na 0.875 0.875 0.374
Au 0.933 0.436 0.196
Au 0.444 0.938 0.679
Au 0.436 0.436 0.196
Au 0.938 0.938 0.679
Au 0.188 0.188 0.436
Au 0.687 0.687 0.938
Au 0.436 0.933 0.196
Au 0.938 0.444 0.679
```

- Among the records above, which one has the lowest final energy?
  Rb2Na2Au15